# GGA-PBEsol TlBiF3, relaxed
# **DOS at the Fermi energy**: 0.7015 states/eV per atom
# **Uncorrected formation energy**: -108.4 kJ/mol of atoms
data_TlBiF3
_chemical_formula_sum 'Tl1 Bi1 F3'
_cell_length_a 4.5455
_cell_length_b 4.5455
_cell_length_c 4.5455
_cell_angle_alpha 90.00
_cell_angle_beta 90.00
_cell_angle_gamma 90.00
_space_group_name_H-M_alt 'P m -3 m'
_space_group_IT_number 221
_space_group_name_Hall '-P 4 2 3'
loop_
_atom_site_label
_atom_site_type_symbol
_atom_site_fract_x
_atom_site_fract_y
_atom_site_fract_z
Tl1 Tl 0.0000 0.0000 0.0000
Bi1 Bi 0.5000 0.5000 0.5000
F1 F 0.0000 0.0000 0.5000